1.
Below is a relaxed CdNi2W crystal, with properties calculated at the GGA-PBE level.

Cell: 2.8046 4.3759 4.8083 Å, 90.00 90.00 90.00°
With the nearest neighbours (Å) after each atom.
Space group Pmmm (No. 47)
Unique sites:
Cd: 0.0000 0.0000 0.0000  4 Ni 2.60, 4 W 2.78, 2 Cd 2.80
Ni: 0.0000 0.5000 0.5000  4 W 2.60, 6 Ni 2.78-2.80
Ni: 0.5000 0.5000 0.0000  4 Cd 2.60, 6 Ni 2.78-2.80
W: 0.5000 0.0000 0.5000  4 Ni 2.60, 4 Cd 2.78, 2 W 2.80

Computed properties:
Formation energy ... 0.572 eV per atom
Volume ... 59 Å³/cell
Magnetic moment ... 0.0006 μB per atom

=====

2.
Below is a relaxed TbSm2Hg crystal, with properties calculated at the GGA-PBE level.

Cell: 3.6864 3.6864 32.0247 Å, 90.00 90.00 120.00°
With the nearest neighbours (Å) after each atom.
Space group R3m (No. 160, hexagonal axes)
Unique sites:
Tb: 0.0000 0.0000 0.0000  6 Sm 3.58-3.59, 6 Tb 3.69
Sm: 0.0000 0.0000 0.5767  3 Hg 3.25, 3 Tb 3.58
Sm: 0.0000 0.0000 0.7568  3 Hg 3.25, 3 Tb 3.59
Hg: 0.0000 0.0000 0.1667  6 Sm 3.25

Computed properties:
Formation energy ... -0.142 eV per atom
Volume ... 377 Å³/cell
Magnetic moment ... 0.0001 μB per atom

=====

3.
Below is a relaxed KSr2ScAs crystal, with properties calculated at the GGA-PBE level.

Cell: 6.0330 6.0330 6.2956 Å, 90.00 90.00 90.00°
With the nearest neighbours (Å) after each atom.
Space group P4/mmm (No. 123)
Unique sites:
K: 0.0000 0.0000 0.0000  2 As 3.15
Sr: 0.0000 0.5000 0.5000  2 As 3.02
Sc: 0.5000 0.5000 0.0000  4 K 4.27, 8 Sr 4.36
As: 0.0000 0.0000 0.5000  4 Sr 3.02, 2 K 3.15

Computed properties:
Formation energy ... 0.043 eV per atom
Volume ... 229 Å³/cell
Magnetic moment ... 0.4217 μB per atom

=====

4.
Below is a relaxed Li2SbTe crystal, with properties calculated at the GGA-PBE level.

Cell: 3.6630 3.9299 6.3016 Å, 90.00 90.79 90.00°
With the nearest neighbours (Å) after each atom.
Space group P2/m (No. 10)
Unique sites:
Li: 0.0016 0.0000 0.2615  2 Li 3.01-3.30, 4 Te 3.06-3.09, 4 Sb 3.14-3.16
Sb: 0.5000 0.5000 0.0000  8 Li 3.14-3.16, 2 Te 3.15
Te: 0.5000 0.5000 0.5000  8 Li 3.06-3.09, 2 Sb 3.15

Computed properties:
Volume ... 91 Å³/cell
Magnetic moment ... 0.0000 μB per atom
Uncorrected energy ... -3.2623 eV/atom